# VAs2Pt, optimized geometry, DFT PBE-GGA
# Energy of formation (eV/atom): 0.045
data_VAs2Pt
_cell_length_a 5.524
_cell_length_b 5.524
_cell_length_c 11.591
_cell_angle_alpha 90.00
_cell_angle_beta 90.00
_cell_angle_gamma 90.00
_symmetry_space_group_name_H-M 'I -4 2 d'
_symmetry_Int_Tables_number 122
_symmetry_space_group_name_Hall 'I -4 2bw'
loop_
_atom_site_label
_atom_site_type_symbol
_atom_site_fract_x
_atom_site_fract_y
_atom_site_fract_z
V1 V 0.000 0.000 0.000
As1 As 0.246 0.250 0.125
Pt1 Pt 0.000 0.000 0.500

# PrZnIn6, optimized geometry, DFT PBE-GGA
# Energy of formation (eV/atom): -0.146
data_PrZnIn6
_cell_length_a 6.906
_cell_length_b 6.906
_cell_length_c 4.299
_cell_angle_alpha 90.00
_cell_angle_beta 90.00
_cell_angle_gamma 90.00
_symmetry_space_group_name_H-M 'P 4/m m m'
_symmetry_Int_Tables_number 123
_symmetry_space_group_name_Hall '-P 4 2'
loop_
_atom_site_label
_atom_site_type_symbol
_atom_site_fract_x
_atom_site_fract_y
_atom_site_fract_z
Pr1 Pr 0.000 0.000 0.000
Zn1 Zn 0.500 0.500 0.000
In1 In 0.000 0.500 0.000
In2 In 0.270 0.270 0.500

# CaBSe2Br, optimized geometry, DFT PBE-GGA
# E_form (uncorrected) (meV per atom): 646.9
data_CaBSe2Br
_cell_length_a 5.614
_cell_length_b 5.614
_cell_length_c 5.564
_cell_angle_alpha 90.00
_cell_angle_beta 90.00
_cell_angle_gamma 90.00
_symmetry_space_group_name_H-M 'P 4/m m m'
_symmetry_Int_Tables_number 123
_symmetry_space_group_name_Hall '-P 4 2'
loop_
_atom_site_label
_atom_site_type_symbol
_atom_site_fract_x
_atom_site_fract_y
_atom_site_fract_z
Ca1 Ca 0.000 0.000 0.000
B1 B 0.500 0.500 0.500
Se1 Se 0.000 0.500 0.000
Br1 Br 0.000 0.000 0.500

no.,electronic total energy (eV per atom)
1,-6.070
2,-2.957
3,-2.817